An optimized crystal structure of Li3Al2Cu. Source: the Alexandria database, functional GGA-PBE.

Results
The total energy comes out at -3.0349 eV/atom. The crystal system is orthorhombic.

a b c (Å): 2.610 4.349 7.652
angles (deg): 90.00 90.00 90.00
Fractional positions:
Li 0.000 0.000 0.000
Li 0.000 0.000 0.330
Li 0.000 0.500 0.832
Al 0.500 0.000 0.648
Al 0.500 0.500 0.184
Cu 0.000 0.500 0.499

***

An optimized crystal structure of LiAl6Cu. Source: the Alexandria database, functional GGA-PBE.

Results
The total energy comes out at -3.5279 eV/atom. The crystal system is monoclinic.

a b c (Å): 5.621 9.333 5.265
angles (deg): 90.00 101.34 90.00
Fractional positions:
Li 0.000 0.000 0.000
Li 0.500 0.500 0.000
Al 0.072 0.500 0.261
Al 0.161 0.246 0.738
Al 0.161 0.754 0.738
Al 0.339 0.254 0.262
Al 0.339 0.746 0.262
Al 0.428 0.000 0.739
Al 0.572 0.000 0.261
Al 0.661 0.254 0.738
Al 0.661 0.746 0.738
Al 0.839 0.246 0.262
Al 0.839 0.754 0.262
Al 0.928 0.500 0.739
Cu 0.000 0.000 0.500
Cu 0.500 0.500 0.500

***

An optimized crystal structure of Li2Al3Cu2. Source: the Alexandria database, functional GGA-PBE.

Results
The total energy comes out at -3.5338 eV/atom. The crystal system is monoclinic.

a b c (Å): 7.345 4.190 6.653
angles (deg): 90.00 110.58 90.00
Fractional positions:
Li 0.148 0.000 0.441
Li 0.352 0.500 0.559
Li 0.648 0.500 0.441
Li 0.852 0.000 0.559
Al 0.000 0.000 0.000
Al 0.073 0.500 0.726
Al 0.427 0.000 0.274
Al 0.500 0.500 0.000
Al 0.573 0.000 0.726
Al 0.927 0.500 0.274
Cu 0.221 0.500 0.153
Cu 0.279 0.000 0.847
Cu 0.721 0.000 0.153
Cu 0.779 0.500 0.847